(1)
DFT (PBE) results for a relaxed structure of GeN3F7. Values from VASP.

- mass density (g/cm3) = 2.295
- distance to the lowest polymorph of the same formula (meV/atom) = 0
- Fermi-level density of states (states/eV/cell) = 7.7
- size of the total moment (μB/cell) = 8.00
- ΔE_f (raw) (eV/atom) = 0.024
- space group = P4/mbm

Cell and atoms, written as Quantum ESPRESSO input:
```
&SYSTEM
  ibrav = 0, nat = 22, ntyp = 3
/
ATOMIC_SPECIES
Ge 72.64 Ge.upf
N 14.01 N.upf
F 19.00 F.upf
CELL_PARAMETERS angstrom
6.6336 0.0000 0.0000
0.0000 6.6336 0.0000
0.0000 0.0000 8.1430
ATOMIC_POSITIONS angstrom
Ge 0.0000 3.3168 0.0000
Ge 3.3168 0.0000 0.0000
N 0.0000 0.0000 0.0000
N 1.5771 1.7397 4.0715
N 1.7397 5.0565 4.0715
N 3.3168 3.3168 0.0000
N 4.8939 1.5771 4.0715
N 5.0565 4.8939 4.0715
F 0.0000 0.0000 4.0715
F 0.9834 2.3334 2.9928
F 0.9834 2.3334 5.1502
F 1.4200 4.7368 0.0000
F 1.8968 1.4200 0.0000
F 2.3334 5.6503 2.9928
F 2.3334 5.6503 5.1502
F 3.3168 3.3168 4.0715
F 4.3002 0.9834 2.9928
F 4.3002 0.9834 5.1502
F 4.7368 5.2136 0.0000
F 5.2136 1.8968 0.0000
F 5.6503 4.3002 2.9928
F 5.6503 4.3002 5.1502
```



(2)
DFT (PBE) results for a relaxed structure of Ge2NF2. Values from VASP.

- mass density (g/cm3) = 4.608
- distance to the lowest polymorph of the same formula (meV/atom) = 104
- Fermi-level density of states (states/eV/cell) = 0.6
- size of the total moment (μB/cell) = 0.99
- ΔE_f (raw) (eV/atom) = -0.012
- space group = I4/mmm

Cell and atoms, written as Quantum ESPRESSO input:
```
&SYSTEM
  ibrav = 0, nat = 5, ntyp = 3
/
ATOMIC_SPECIES
Ge 72.64 Ge.upf
N 14.01 N.upf
F 19.00 F.upf
CELL_PARAMETERS angstrom
-2.2214 2.2214 3.6015
2.2214 -2.2214 3.6015
2.2214 2.2214 -3.6015
ATOMIC_POSITIONS angstrom
Ge 2.2214 0.0000 1.8008
Ge 0.0000 2.2214 1.8008
N 0.0000 0.0000 0.0000
F 0.0000 0.0000 2.4375
F 0.0000 0.0000 4.7655
```



(3)
DFT (PBE) results for a relaxed structure of GeN2F. Values from VASP.

- mass density (g/cm3) = 4.644
- distance to the lowest polymorph of the same formula (meV/atom) = 689
- Fermi-level density of states (states/eV/cell) = 4.4
- size of the total moment (μB/cell) = 0.00
- ΔE_f (raw) (eV/atom) = 1.390
- space group = R-3m

Cell and atoms, written as Quantum ESPRESSO input:
```
&SYSTEM
  ibrav = 0, nat = 4, ntyp = 3
/
ATOMIC_SPECIES
Ge 72.64 Ge.upf
N 14.01 N.upf
F 19.00 F.upf
CELL_PARAMETERS angstrom
2.0427 1.1793 2.9598
-2.0427 1.1793 2.9598
0.0000 -2.3587 2.9598
ATOMIC_POSITIONS angstrom
Ge 0.0000 0.0000 0.0000
N 0.0000 0.0000 1.7894
N 0.0000 0.0000 7.0899
F 0.0000 0.0000 4.4397
```



(4)
DFT (PBE) results for a relaxed structure of GeN2F. Values from VASP.

- mass density (g/cm3) = 4.400
- distance to the lowest polymorph of the same formula (meV/atom) = 0
- Fermi-level density of states (states/eV/cell) = 1.7
- size of the total moment (μB/cell) = 0.84
- ΔE_f (raw) (eV/atom) = 0.701
- space group = R-3m

Cell and atoms, written as Quantum ESPRESSO input:
```
&SYSTEM
  ibrav = 0, nat = 4, ntyp = 3
/
ATOMIC_SPECIES
Ge 72.64 Ge.upf
N 14.01 N.upf
F 19.00 F.upf
CELL_PARAMETERS angstrom
1.5501 0.8950 5.4252
-1.5501 0.8950 5.4252
0.0000 -1.7899 5.4252
ATOMIC_POSITIONS angstrom
Ge 0.0000 0.0000 0.0000
N 0.0000 0.0000 6.3646
N 0.0000 0.0000 9.9111
F 0.0000 0.0000 8.1378
```



Which value of ΔE_f (raw) does entry 2 give?
-0.012 eV/atom